1.
# NaTi2Au2 (GGA-PBEsol, optimized geometry)
data_NaTi2Au2
_cell_length_a 4.7440
_cell_length_b 4.7440
_cell_length_c 9.3995
_cell_angle_alpha 90.00
_cell_angle_beta 90.00
_cell_angle_gamma 90.00
_symmetry_space_group_name_H-M 'I 4/m m m'
_symmetry_Int_Tables_number 139
_symmetry_space_group_name_Hall '-I 4 2'
loop_
_atom_site_label
_atom_site_type_symbol
_atom_site_fract_x
_atom_site_fract_y
_atom_site_fract_z
Na1 Na 0.0000 0.0000 0.0000
Ti1 Ti 0.0000 0.0000 0.3623
Au1 Au 0.0000 0.5000 0.2500
# ρ	8.05	Mg/m³
# formation energy	0.21	eV per atom
# total moment	2.04	μB/f.u.

***

2.
# Na4TlAu (GGA-PBEsol, optimized geometry)
data_Na4TlAu
_cell_length_a 5.4715
_cell_length_b 9.8304
_cell_length_c 23.1199
_cell_angle_alpha 90.00
_cell_angle_beta 90.00
_cell_angle_gamma 90.00
_symmetry_space_group_name_H-M 'F m m m'
_symmetry_Int_Tables_number 69
_symmetry_space_group_name_Hall '-F 2 2'
loop_
_atom_site_label
_atom_site_type_symbol
_atom_site_fract_x
_atom_site_fract_y
_atom_site_fract_z
Na1 Na 0.0000 0.0000 0.2059
Na2 Na 0.0000 0.1639 0.5000
Na3 Na 0.0000 0.1668 0.3615
Tl1 Tl 0.0000 0.0000 0.0660
Au1 Au 0.2500 0.2500 0.2500
# ρ	5.27	Mg/m³
# formation energy	-0.16	eV per atom
# total moment	0.00	μB/f.u.

***

3.
# Na2TlAu2 (GGA-PBEsol, optimized geometry)
data_Na2TlAu2
_cell_length_a 7.3393
_cell_length_b 7.3393
_cell_length_c 4.2668
_cell_angle_alpha 90.00
_cell_angle_beta 90.00
_cell_angle_gamma 90.00
_symmetry_space_group_name_H-M 'P 4/m b m'
_symmetry_Int_Tables_number 127
_symmetry_space_group_name_Hall '-P 4 2ab'
loop_
_atom_site_label
_atom_site_type_symbol
_atom_site_fract_x
_atom_site_fract_y
_atom_site_fract_z
Na1 Na 0.1658 0.3342 0.0000
Tl1 Tl 0.0000 0.0000 0.5000
Au1 Au 0.1322 0.6322 0.5000
# ρ	9.31	Mg/m³
# formation energy	-0.18	eV per atom
# total moment	0.00	μB/f.u.

***

4.
# NaWAu2 (GGA-PBEsol, optimized geometry)
data_NaWAu2
_cell_length_a 6.4646
_cell_length_b 6.4646
_cell_length_c 6.4646
_cell_angle_alpha 90.00
_cell_angle_beta 90.00
_cell_angle_gamma 90.00
_symmetry_space_group_name_H-M 'F m -3 m'
_symmetry_Int_Tables_number 225
_symmetry_space_group_name_Hall '-F 4 2 3'
loop_
_atom_site_label
_atom_site_type_symbol
_atom_site_fract_x
_atom_site_fract_y
_atom_site_fract_z
Na1 Na 0.0000 0.0000 0.0000
W1 W 0.0000 0.0000 0.5000
Au1 Au 0.2500 0.2500 0.2500
# ρ	14.77	Mg/m³
# formation energy	0.63	eV per atom
# total moment	0.00	μB/f.u.

***

5.
# NaWAu3 (GGA-PBEsol, optimized geometry)
data_NaWAu3
_cell_length_a 5.0242
_cell_length_b 5.0242
_cell_length_c 5.0242
_cell_angle_alpha 90.00
_cell_angle_beta 90.00
_cell_angle_gamma 90.00
_symmetry_space_group_name_H-M 'P m -3 m'
_symmetry_Int_Tables_number 221
_symmetry_space_group_name_Hall '-P 4 2 3'
loop_
_atom_site_label
_atom_site_type_symbol
_atom_site_fract_x
_atom_site_fract_y
_atom_site_fract_z
Na1 Na 0.0000 0.0000 0.0000
W1 W 0.5000 0.5000 0.5000
Au1 Au 0.0000 0.5000 0.5000
# ρ	10.44	Mg/m³
# formation energy	0.83	eV per atom
# total moment	0.00	μB/f.u.

***

6.
# Na2YAu (GGA-PBEsol, optimized geometry)
data_Na2YAu
_cell_length_a 7.1293
_cell_length_b 7.1293
_cell_length_c 7.1293
_cell_angle_alpha 90.00
_cell_angle_beta 90.00
_cell_angle_gamma 90.00
_symmetry_space_group_name_H-M 'F m -3 m'
_symmetry_Int_Tables_number 225
_symmetry_space_group_name_Hall '-F 4 2 3'
loop_
_atom_site_label
_atom_site_type_symbol
_atom_site_fract_x
_atom_site_fract_y
_atom_site_fract_z
Na1 Na 0.2500 0.2500 0.2500
Y1 Y 0.0000 0.0000 0.0000
Au1 Au 0.0000 0.0000 0.5000
# ρ	6.08	Mg/m³
# formation energy	0.18	eV per atom
# total moment	0.00	μB/f.u.